The following is a PBE calculation of crystalline BaCdIn at its relaxed geometry, from Alexandria via LeMat-Bulk.

Properties
SG: F-43m
Spin magnetization: 0.00 μB per formula unit
VASP energy: -1.747 eV/atom
Energy of formation from the pure elements: 0.1121 eV/atom
Density of states at the Fermi level: 3.48 states/eV/cell

Geometry as CIF:
```
data_BaCdIn
_symmetry_space_group_name_H-M 'P 1'
_symmetry_Int_Tables_number 1
_cell_length_a 5.623
_cell_length_b 5.623
_cell_length_c 5.623
_cell_angle_alpha 60.00
_cell_angle_beta 60.00
_cell_angle_gamma 60.00
loop_
_symmetry_equiv_pos_as_xyz
'x,y,z'
loop_
_atom_site_label
_atom_site_type_symbol
_atom_site_fract_x
_atom_site_fract_y
_atom_site_fract_z
Cd1 Cd 0.000 0.000 0.000
In1 In 0.500 0.500 0.500
Ba1 Ba 0.750 0.750 0.750
```